{"formula": "AlBTe2", "functional": "PBE-GGA", "state": "relaxed", "formation_energy_uncorrected_ev_per_atom": 0.693, "sg": "R-3m, No. 166", "magnetic_moment_mub_per_fu": 0.00, "lattice_angstrom": [[1.713, 0.989, 8.909], [-1.713, 0.989, 8.909], [0.000, -1.977, 8.909]], "species": ["Al", "B", "Te", "Te"], "frac_coords": [[0.000, 0.000, 0.000], [0.500, 0.500, 0.500], [0.111, 0.111, 0.111], [0.889, 0.889, 0.889]]}

{"formula": "Sc4Ge", "functional": "PBE-GGA", "state": "relaxed", "ef_kj_per_mol_atoms": 2.32, "sg": "Pm-3m, No. 221", "magnetic_moment_mub_per_fu": 1.41, "lattice_angstrom": [[5.121, 0.000, 0.000], [0.000, 5.121, 0.000], [0.000, 0.000, 5.121]], "species": ["Sc", "Sc", "Sc", "Sc", "Ge"], "frac_coords": [[0.000, 0.000, 0.000], [0.000, 0.500, 0.500], [0.500, 0.000, 0.500], [0.500, 0.500, 0.000], [0.500, 0.500, 0.500]]}

{"formula": "Ho2TmRh3", "functional": "PBE-GGA", "state": "relaxed", "ef_kj_per_mol_atoms": -89.38, "sg": "P4/mmm, No. 123", "magnetic_moment_mub_per_fu": 0.00, "lattice_angstrom": [[3.401, 0.000, 0.000], [0.000, 3.401, 0.000], [0.000, 0.000, 10.186]], "species": ["Ho", "Ho", "Tm", "Rh", "Rh", "Rh"], "frac_coords": [[0.000, 0.000, 0.168], [0.000, 0.000, 0.832], [0.000, 0.000, 0.500], [0.500, 0.500, 0.000], [0.500, 0.500, 0.336], [0.500, 0.500, 0.664]]}

{"formula": "GaSeS2", "functional": "PBE-GGA", "state": "relaxed", "formation_energy_uncorrected_ev_per_atom": 0.115, "sg": "I-42d, No. 122", "magnetic_moment_mub_per_fu": 0.00, "lattice_angstrom": [[-3.245, 3.245, 4.302], [3.245, -3.245, 4.302], [3.245, 3.245, -4.302]], "species": ["Ga", "Ga", "Se", "Se", "S", "S", "S", "S"], "frac_coords": [[0.000, 0.000, 0.000], [0.750, 0.250, 0.500], [0.250, 0.750, 0.500], [0.500, 0.500, 0.000], [0.080, 0.625, 0.955], [0.375, 0.330, 0.455], [0.670, 0.125, 0.045], [0.875, 0.920, 0.545]]}

{"formula": "Mg3BeZn", "functional": "PBE-GGA", "state": "relaxed", "ef_kj_per_mol_atoms": 62.90, "sg": "Pm-3m, No. 221", "magnetic_moment_mub_per_fu": 0.00, "lattice_angstrom": [[4.938, 0.000, 0.000], [0.000, 4.938, 0.000], [0.000, 0.000, 4.938]], "species": ["Mg", "Mg", "Mg", "Be", "Zn"], "frac_coords": [[0.000, 0.000, 0.500], [0.000, 0.500, 0.000], [0.500, 0.000, 0.000], [0.500, 0.500, 0.500], [0.000, 0.000, 0.000]]}

{"formula": "Sm3Ho5Sc2", "functional": "PBE-GGA", "state": "relaxed", "ef_kj_per_mol_atoms": 18.78, "sg": "C2/c, No. 15", "magnetic_moment_mub_per_fu": 0.00, "lattice_angstrom": [[5.297, -7.972, 0.000], [5.297, 7.972, 0.000], [-5.294, 0.000, 7.413]], "species": ["Sm", "Sm", "Sm", "Sm", "Sm", "Sm", "Ho", "Ho", "Ho", "Ho", "Ho", "Ho", "Ho", "Ho", "Ho", "Ho", "Sc", "Sc", "Sc", "Sc"], "frac_coords": [[0.022, 0.269, 0.047], [0.235, 0.765, 0.750], [0.269, 0.022, 0.547], [0.731, 0.978, 0.453], [0.765, 0.235, 0.250], [0.978, 0.731, 0.953], [0.031, 0.969, 0.750], [0.153, 0.370, 0.766], [0.273, 0.727, 0.250], [0.370, 0.153, 0.266], [0.469, 0.531, 0.250], [0.531, 0.469, 0.750], [0.630, 0.847, 0.734], [0.727, 0.273, 0.750], [0.847, 0.630, 0.234], [0.969, 0.031, 0.250], [0.237, 0.464, 0.454], [0.464, 0.237, 0.954], [0.536, 0.763, 0.046], [0.763, 0.536, 0.546]]}